A plane-wave DFT calculation with GGA-PBE was carried out for ReNiHg2Bi after structural relaxation.

Calculated values
- symmetry = P4/mmm, No. 123
- DOS(E_F) (states/eV/cell) = 12.75
- formation energy (eV/f.u.) = 6.43
- ρ (kg/m³) = 9668

Unit cell a=5.327 b=5.327 c=5.175 alpha=90.00 beta=90.00 gamma=90.00
Sites, in units of the cell vectors:
Re 0.000 0.000 0.000
Ni 0.500 0.500 0.500
Hg 0.000 0.500 0.000
Hg 0.500 0.000 0.000
Bi 0.000 0.000 0.500

=====

A plane-wave DFT calculation with GGA-PBE was carried out for SrNiHg2Bi after structural relaxation.

Calculated values
- symmetry = P4/mmm, No. 123
- DOS(E_F) (states/eV/cell) = 3.15
- formation energy (eV/f.u.) = -1.18
- ρ (kg/m³) = 9203

Unit cell a=5.073 b=5.073 c=5.304 alpha=90.00 beta=90.00 gamma=90.00
Sites, in units of the cell vectors:
Sr 0.000 0.000 0.000
Ni 0.500 0.500 0.500
Hg 0.000 0.500 0.500
Hg 0.500 0.000 0.500
Bi 0.500 0.500 0.000

=====

A plane-wave DFT calculation with GGA-PBE was carried out for SrNiHgBi2 after structural relaxation.

Calculated values
- symmetry = P4/mmm, No. 123
- DOS(E_F) (states/eV/cell) = 3.73
- formation energy (eV/f.u.) = -1.03
- ρ (kg/m³) = 8837

Unit cell a=5.311 b=5.311 c=5.096 alpha=90.00 beta=90.00 gamma=90.00
Sites, in units of the cell vectors:
Sr 0.000 0.000 0.000
Ni 0.500 0.500 0.500
Hg 0.500 0.500 0.000
Bi 0.000 0.500 0.500
Bi 0.500 0.000 0.500

=====

A plane-wave DFT calculation with GGA-PBE was carried out for TaNiHgBi2 after structural relaxation.

Calculated values
- symmetry = P4/mmm, No. 123
- DOS(E_F) (states/eV/cell) = 9.48
- formation energy (eV/f.u.) = 5.56
- ρ (kg/m³) = 8914

Unit cell a=5.439 b=5.439 c=5.404 alpha=90.00 beta=90.00 gamma=90.00
Sites, in units of the cell vectors:
Ta 0.000 0.000 0.000
Ni 0.500 0.500 0.500
Hg 0.000 0.000 0.500
Bi 0.000 0.500 0.000
Bi 0.500 0.000 0.000

=====

A plane-wave DFT calculation with GGA-PBE was carried out for TlNiHg2Bi after structural relaxation.

Calculated values
- symmetry = P4/mmm, No. 123
- DOS(E_F) (states/eV/cell) = 3.31
- formation energy (eV/f.u.) = 0.46
- ρ (kg/m³) = 10745

Unit cell a=5.135 b=5.135 c=5.118 alpha=90.00 beta=90.00 gamma=90.00
Sites, in units of the cell vectors:
Tl 0.000 0.000 0.000
Ni 0.500 0.500 0.500
Hg 0.000 0.500 0.500
Hg 0.500 0.000 0.500
Bi 0.500 0.500 0.000

=====

A plane-wave DFT calculation with GGA-PBE was carried out for TlNiHgBi2 after structural relaxation.

Calculated values
- symmetry = P4/mmm, No. 123
- DOS(E_F) (states/eV/cell) = 3.79
- formation energy (eV/f.u.) = 0.72
- ρ (kg/m³) = 10411

Unit cell a=5.252 b=5.252 c=5.098 alpha=90.00 beta=90.00 gamma=90.00
Sites, in units of the cell vectors:
Tl 0.000 0.000 0.000
Ni 0.500 0.500 0.500
Hg 0.500 0.500 0.000
Bi 0.000 0.500 0.500
Bi 0.500 0.000 0.500